No. 1
Computed, not measured: a geometry-optimized MgTlHg2 structure at the PBEsol level of DFT.

Calculated values
formation energy from the elements = -9 kJ/mol of atoms

abc: 4.3911 4.3911 5.7714
angles: 112.36 112.36 90.00
Closest atoms and distances in Å follow each position.
Fractional positions:
1 Mg 0.5000 0.5000 0.0000  8 Hg 3.10-3.28, 4 Tl 3.28
2 Tl 0.2500 0.7500 0.5000  8 Hg 3.10-3.28, 4 Mg 3.28
3 Hg 0.0000 0.0000 0.0000  4 Mg 3.10, 4 Hg 3.28, 4 Tl 3.28
4 Hg 0.7500 0.2500 0.5000  4 Tl 3.10, 4 Hg 3.28, 4 Mg 3.28



No. 2
Computed, not measured: a geometry-optimized MgTlHg2 structure at the PBEsol level of DFT.

Calculated values
formation energy from the elements = -8 kJ/mol of atoms

abc: 3.5409 4.1134 6.4808
angles: 90.00 90.00 90.00
Closest atoms and distances in Å follow each position.
Fractional positions:
1 Mg 0.0000 0.0000 0.4723  5 Hg 3.00-3.03, 4 Tl 3.27
2 Tl 0.5000 0.5000 0.7530  6 Hg 3.16-3.32, 4 Mg 3.27, 2 Tl 3.54
3 Hg 0.0000 0.0000 0.0097  1 Mg 3.00, 4 Hg 3.18, 4 Tl 3.18
4 Hg 0.5000 0.5000 0.2650  4 Mg 3.03, 2 Tl 3.16-3.32, 4 Hg 3.18



No. 3
Computed, not measured: a geometry-optimized MgTlHg2 structure at the PBEsol level of DFT.

Calculated values
formation energy from the elements = -11 kJ/mol of atoms

abc: 3.4651 3.4651 9.3265
angles: 79.29 79.29 60.00
Closest atoms and distances in Å follow each position.
Fractional positions:
1 Mg 0.5000 0.5000 0.5000  6 Hg 2.90
2 Tl 0.0000 0.0000 0.0000  6 Hg 3.17, 6 Tl 3.47
3 Hg 0.2434 0.2434 0.2698  3 Mg 2.90, 3 Tl 3.17
4 Hg 0.7566 0.7566 0.7302  3 Mg 2.90, 3 Tl 3.17



No. 4
Computed, not measured: a geometry-optimized MgTlHg2 structure at the PBEsol level of DFT.

Calculated values
formation energy from the elements = -8 kJ/mol of atoms

abc: 3.7394 3.7394 6.7322
angles: 90.00 90.00 90.00
Closest atoms and distances in Å follow each position.
Fractional positions:
1 Mg 0.0000 0.0000 0.4710  5 Hg 2.99-3.08, 4 Tl 3.24
2 Tl 0.5000 0.5000 0.7500  6 Hg 3.18-3.47, 4 Mg 3.24
3 Hg 0.0000 0.0000 0.0137  1 Mg 3.08, 4 Hg 3.14, 4 Tl 3.18
4 Hg 0.5000 0.5000 0.2652  4 Mg 2.99, 4 Hg 3.14, 1 Tl 3.26



Q: Which of these has the lowest formation energy from the elements?
A: number 3



Q: Which value of formation energy from the elements does entry 3 give?
A: -11 kJ/mol of atoms



Q: What is the formation energy from the elements in the second record?
A: -8 kJ/mol of atoms